Entry from Alexandria: a relaxed BaUSeO2 crystal (PBE).

Results
N(E_F): 12.6 states/eV/cell
Raw formation energy: -1250 kJ/mol of formula units

Cell lengths 6.204, 6.204, 7.493 Å; angles 114.45, 114.45, 90.00 degrees
Last column: magnetic moment on the atom in μB.
Fractional coordinates of all 10 atoms:
U: 0.001 0.001 0.002  2.01
U: 0.501 0.501 0.002  2.01
O: 0.220 0.720 0.940  -0.06
O: 0.220 0.220 0.940  -0.06
O: 0.720 0.720 0.940  -0.06
O: 0.720 0.220 0.940  -0.06
Ba: 0.820 0.320 0.640  0.01
Ba: 0.320 0.820 0.640  0.01
Se: 0.239 0.239 0.478  -0.02
Se: 0.739 0.739 0.478  -0.02